VASP calculation (meta-GGA SCAN) on a PBEsol-optimized structure of CoAu3.

- Total energy: -56.15 eV/atom
- Fermi-level density of states: 1.3 states/eV/f.u.

a = 2.8119 Å, b = 2.8119 Å, c = 7.7819 Å
α = 90.00°, β = 90.00°, γ = 90.00°
Last column: nearest neighbours and their distance in Å.
Space group P4/mmm (No. 123)
Asymmetric unit:
Co (0.0000, 0.0000, 0.0000) (multiplicity 1)  8 Au 2.65, 4 Co 2.81
Au (0.0000, 0.0000, 0.5000) (multiplicity 1)  12 Au 2.81-2.92
Au (0.5000, 0.5000, 0.2253) (multiplicity 2)  4 Co 2.65, 8 Au 2.81-2.92